Compound: NaNi2Mo2H3O10
Source: Alexandria
Functional: PBEsol
Structure: relaxed

Cell: 5.5477 5.5477 7.4670 Å, 68.42 68.42 67.97°
Positions (direct):
1 Na 0.5000 0.5000 0.0000
2 Ni 0.5000 0.0000 0.5000
3 Ni 0.0000 0.5000 0.5000
4 Mo 0.9228 0.9228 0.7812
5 Mo 0.0772 0.0772 0.2188
6 H 0.5000 0.5000 0.5000
7 H 0.3127 0.3127 0.7310
8 H 0.6873 0.6873 0.2690
9 O 0.6481 0.6481 0.4178
10 O 0.3519 0.3519 0.5822
11 O 0.1693 0.1693 0.3912
12 O 0.8307 0.8307 0.6088
13 O 0.2359 0.2359 0.9796
14 O 0.7641 0.7641 0.0204
15 O 0.7249 0.1877 0.2465
16 O 0.1877 0.7249 0.2465
17 O 0.2751 0.8123 0.7535
18 O 0.8123 0.2751 0.7535

- Volume: 10.61 Å³/atom
- E: -7.024 eV/atom

Compound: NaZnMoHO5
Source: Alexandria
Functional: PBEsol
Structure: relaxed

Cell: 6.1170 7.7815 9.2298 Å, 90.00 90.00 90.00°
Positions (direct):
1 Na 0.2500 0.6412 0.6903
2 Na 0.7500 0.3588 0.3097
3 Na 0.2500 0.1412 0.8097
4 Na 0.7500 0.8588 0.1903
5 Zn 0.5000 0.5000 0.0000
6 Zn 0.0000 0.5000 0.0000
7 Zn 0.0000 0.0000 0.5000
8 Zn 0.5000 0.0000 0.5000
9 Mo 0.7500 0.8806 0.8319
10 Mo 0.2500 0.1194 0.1681
11 Mo 0.7500 0.3806 0.6681
12 Mo 0.2500 0.6194 0.3319
13 H 0.2500 0.2509 0.5182
14 H 0.7500 0.7491 0.4818
15 H 0.2500 0.7509 0.9818
16 H 0.7500 0.2491 0.0182
17 O 0.9860 0.8901 0.7219
18 O 0.4860 0.1099 0.2781
19 O 0.5140 0.3901 0.7781
20 O 0.0140 0.6099 0.2219
21 O 0.0140 0.1099 0.2781
22 O 0.5140 0.8901 0.7219
23 O 0.4860 0.6099 0.2219
24 O 0.9860 0.3901 0.7781
25 O 0.7500 0.5537 0.5471
26 O 0.2500 0.4463 0.4529
27 O 0.7500 0.0537 0.9529
28 O 0.2500 0.9463 0.0471
29 O 0.2500 0.1337 0.5627
30 O 0.7500 0.8663 0.4373
31 O 0.2500 0.6337 0.9373
32 O 0.7500 0.3663 0.0627
33 O 0.7500 0.6894 0.9406
34 O 0.2500 0.3106 0.0594
35 O 0.7500 0.1894 0.5594
36 O 0.2500 0.8106 0.4406

- Volume: 12.20 Å³/atom
- Density of states at the Fermi level: 0.0 states/eV/f.u.
- E: -6.673 eV/atom

Compound: Na2MoPH
Source: Alexandria
Functional: PBEsol
Structure: relaxed

Cell: 3.3327 5.6122 5.6122 Å, 90.00 90.00 90.00°
Positions (direct):
1 P 0.0000 0.0000 0.0000
2 Mo 0.5000 0.5000 0.5000
3 H 0.5000 0.0000 0.0000
4 Na 0.0000 0.0000 0.5000
5 Na 0.0000 0.5000 0.0000

- Volume: 20.99 Å³/atom
- Density of states at the Fermi level: 1.6 states/eV/f.u.
- E: -3.628 eV/atom

Compound: NbMo3H
Source: Alexandria
Functional: PBEsol
Structure: relaxed

Cell: 4.7153 4.7153 4.7153 Å, 90.00 90.00 90.00°
Positions (direct):
1 H 0.5000 0.5000 0.5000
2 Mo 0.0000 0.5000 0.0000
3 Mo 0.0000 0.0000 0.5000
4 Mo 0.5000 0.0000 0.0000
5 Nb 0.0000 0.0000 0.0000

- Volume: 20.97 Å³/atom
- Density of states at the Fermi level: 3.9 states/eV/f.u.
- E: -7.186 eV/atom

Compound: Nb2MoH2
Source: Alexandria
Functional: PBEsol
Structure: relaxed

Cell: 3.2719 3.2719 5.7339 Å, 106.58 106.58 90.00°
Positions (direct):
1 H 0.2500 0.7500 0.5000
2 H 0.7500 0.2500 0.5000
3 Mo 0.0000 0.0000 0.0000
4 Nb 0.3524 0.3524 0.7048
5 Nb 0.6476 0.6476 0.2952

- Volume: 11.23 Å³/atom
- Density of states at the Fermi level: 1.5 states/eV/f.u.
- E: -8.169 eV/atom

Compound: NiMo2H2
Source: Alexandria
Functional: PBEsol
Structure: relaxed

Cell: 3.2370 3.2370 5.0187 Å, 108.81 108.81 90.00°
Positions (direct):
1 Ni 0.0000 0.0000 0.0000
2 Mo 0.3600 0.3600 0.7200
3 Mo 0.6400 0.6400 0.2800
4 H 0.2500 0.7500 0.5000
5 H 0.7500 0.2500 0.5000

- Volume: 9.36 Å³/atom
- Density of states at the Fermi level: 4.0 states/eV/f.u.
- E: -7.146 eV/atom

Compound: MoH3Os
Source: Alexandria
Functional: PBEsol
Structure: relaxed

Cell: 3.4048 3.4048 3.4048 Å, 90.00 90.00 90.00°
Positions (direct):
1 H 0.0000 0.5000 0.0000
2 H 0.0000 0.0000 0.5000
3 H 0.5000 0.0000 0.0000
4 Mo 0.0000 0.0000 0.0000
5 Os 0.5000 0.5000 0.5000

- Volume: 7.89 Å³/atom
- Density of states at the Fermi level: 3.0 states/eV/f.u.
- E: -5.994 eV/atom

Compound: MoHOsRu2
Source: Alexandria
Functional: PBEsol
Structure: relaxed

Cell: 4.5866 4.5866 4.6505 Å, 90.00 90.00 90.00°
Positions (direct):
1 Ru 0.0000 0.5000 0.0000
2 Ru 0.5000 0.0000 0.0000
3 Mo 0.0000 0.0000 0.0000
4 Os 0.0000 0.0000 0.5000
5 H 0.5000 0.5000 0.5000

- Volume: 19.57 Å³/atom
- Density of states at the Fermi level: 6.2 states/eV/f.u.
- E: -6.885 eV/atom

Compound: Mo2PH
Source: Alexandria
Functional: PBEsol
Structure: relaxed

Cell: 4.6961 4.6961 5.8394 Å, 113.71 113.71 90.00°
Positions (direct):
1 P 0.2500 0.7500 0.5000
2 P 0.0000 0.0000 0.0000
3 Mo 0.4691 0.8750 0.2500
4 Mo 0.7809 0.3750 0.2500
5 Mo 0.1250 0.2191 0.7500
6 Mo 0.6250 0.5309 0.7500
7 H 0.7500 0.2500 0.5000
8 H 0.5000 0.5000 0.0000

- Volume: 13.24 Å³/atom
- Density of states at the Fermi level: 2.9 states/eV/f.u.
- E: -7.852 eV/atom

Compound: Mo2PHPt
Source: Alexandria
Functional: PBEsol
Structure: relaxed

Cell: 3.8066 3.8066 4.1629 Å, 90.00 90.00 90.00°
Positions (direct):
1 P 0.5000 0.5000 0.5000
2 Mo 0.0000 0.5000 0.0000
3 Mo 0.5000 0.0000 0.0000
4 Pt 0.0000 0.0000 0.5000
5 H 0.0000 0.0000 0.0000

- Volume: 12.06 Å³/atom
- Density of states at the Fermi level: 4.0 states/eV/f.u.
- E: -7.767 eV/atom

Compound: Re2MoHPb
Source: Alexandria
Functional: PBEsol
Structure: relaxed

Cell: 3.3360 4.8671 4.8671 Å, 90.00 90.00 90.00°
Positions (direct):
1 Pb 0.5000 0.5000 0.5000
2 Re 0.0000 0.0000 0.5000
3 Re 0.0000 0.5000 0.0000
4 Mo 0.0000 0.0000 0.0000
5 H 0.5000 0.0000 0.0000

- Volume: 15.81 Å³/atom
- Density of states at the Fermi level: 4.4 states/eV/f.u.
- E: -7.800 eV/atom

Compound: MoH3Pd
Source: Alexandria
Functional: PBEsol
Structure: relaxed

Cell: 3.4398 3.4398 3.4398 Å, 90.00 90.00 90.00°
Positions (direct):
1 H 0.0000 0.5000 0.0000
2 H 0.0000 0.0000 0.5000
3 H 0.5000 0.0000 0.0000
4 Mo 0.0000 0.0000 0.0000
5 Pd 0.5000 0.5000 0.5000

- Volume: 8.14 Å³/atom
- Density of states at the Fermi level: 2.3 states/eV/f.u.
- E: -5.195 eV/atom

Question: The lowest E belongs to which entry?
Answer: Nb2MoH2

Question: The highest volume belongs to which entry?
Answer: Na2MoPH